# 1
The following is a DFT calculation (PBE) of LaYGe2C after structural relaxation.

Properties
E (eV/atom): -3.817
Formation energy from the elements (meV per atom): 2153
D(E_F) (states/eV per cell): 6.23

The structure in CIF format:
```
data_LaYGe2C
_chemical_formula_sum 'La1 Y1 Ge2 C1'
_space_group_name_H-M_alt 'P 4/m m m'
_space_group_IT_number 123
_space_group_name_Hall '-P 4 2'
_cell_length_a 5.531
_cell_length_b 5.531
_cell_length_c 6.046
_cell_angle_alpha 90.00
_cell_angle_beta 90.00
_cell_angle_gamma 90.00
loop_
_atom_site_label
_atom_site_type_symbol
_atom_site_fract_x
_atom_site_fract_y
_atom_site_fract_z
La1 La 0.000 0.000 0.000
Y1 Y 0.000 0.000 0.500
Ge1 Ge 0.000 0.500 0.000
C1 C 0.500 0.500 0.500
```



# 2
The following is a DFT calculation (PBE) of LaY2GeC after structural relaxation.

Properties
E (eV/atom): -6.801
Formation energy from the elements (meV per atom): -461
D(E_F) (states/eV per cell): 2.36

The structure in CIF format:
```
data_LaY2GeC
_chemical_formula_sum 'La1 Y2 Ge1 C1'
_space_group_name_H-M_alt 'P 4/m m m'
_space_group_IT_number 123
_space_group_name_Hall '-P 4 2'
_cell_length_a 4.864
_cell_length_b 4.864
_cell_length_c 5.123
_cell_angle_alpha 90.00
_cell_angle_beta 90.00
_cell_angle_gamma 90.00
loop_
_atom_site_label
_atom_site_type_symbol
_atom_site_fract_x
_atom_site_fract_y
_atom_site_fract_z
La1 La 0.000 0.000 0.000
Y1 Y 0.000 0.500 0.500
Ge1 Ge 0.500 0.500 0.000
C1 C 0.000 0.000 0.500
```



# 3
The following is a DFT calculation (PBE) of LiGe3C after structural relaxation.

Properties
E (eV/atom): -4.167
Formation energy from the elements (meV per atom): 831
Distance to the lowest polymorph of the same formula (eV per atom): 0.0000
D(E_F) (states/eV per cell): 2.46

The structure in CIF format:
```
data_LiGe3C
_chemical_formula_sum 'Li1 Ge3 C1'
_space_group_name_H-M_alt 'P m -3 m'
_space_group_IT_number 221
_space_group_name_Hall '-P 4 2 3'
_cell_length_a 4.368
_cell_length_b 4.368
_cell_length_c 4.368
_cell_angle_alpha 90.00
_cell_angle_beta 90.00
_cell_angle_gamma 90.00
loop_
_atom_site_label
_atom_site_type_symbol
_atom_site_fract_x
_atom_site_fract_y
_atom_site_fract_z
Li1 Li 0.000 0.000 0.000
Ge1 Ge 0.000 0.500 0.500
C1 C 0.500 0.500 0.500
```



# 4
The following is a DFT calculation (PBE) of LiGe3C after structural relaxation.

Properties
E (eV/atom): -3.401
Formation energy from the elements (meV per atom): 1597
Distance to the lowest polymorph of the same formula (eV per atom): 0.7668
D(E_F) (states/eV per cell): 3.15

The structure in CIF format:
```
data_LiGe3C
_chemical_formula_sum 'Li1 Ge3 C1'
_space_group_name_H-M_alt 'P m -3 m'
_space_group_IT_number 221
_space_group_name_Hall '-P 4 2 3'
_cell_length_a 4.449
_cell_length_b 4.449
_cell_length_c 4.449
_cell_angle_alpha 90.00
_cell_angle_beta 90.00
_cell_angle_gamma 90.00
loop_
_atom_site_label
_atom_site_type_symbol
_atom_site_fract_x
_atom_site_fract_y
_atom_site_fract_z
Li1 Li 0.000 0.000 0.000
Ge1 Ge 0.000 0.000 0.500
C1 C 0.500 0.500 0.500
```



# 5
The following is a DFT calculation (PBE) of LiGeC after structural relaxation.

Properties
E (eV/atom): -4.837
Formation energy from the elements (meV per atom): 415
D(E_F) (states/eV per cell): 1.65

The structure in CIF format:
```
data_LiGeC
_chemical_formula_sum 'Li2 Ge2 C2'
_space_group_name_H-M_alt 'P -1'
_space_group_IT_number 2
_cell_length_a 3.222
_cell_length_b 4.053
_cell_length_c 6.508
_cell_angle_alpha 90.44
_cell_angle_beta 104.28
_cell_angle_gamma 90.16
loop_
_space_group_symop_operation_xyz
'x,y,z'
'-x,-y,-z'
loop_
_atom_site_label
_atom_site_type_symbol
_atom_site_fract_x
_atom_site_fract_y
_atom_site_fract_z
Li1 Li 0.217 0.251 0.434
Ge1 Ge 0.429 0.239 0.859
C1 C 0.150 0.746 0.300
```



# 6
The following is a DFT calculation (PBE) of Li3GeC after structural relaxation.

Properties
E (eV/atom): -2.604
Formation energy from the elements (meV per atom): 1313
Distance to the lowest polymorph of the same formula (eV per atom): 0.8323
D(E_F) (states/eV per cell): 3.78

The structure in CIF format:
```
data_Li3GeC
_chemical_formula_sum 'Li3 Ge1 C1'
_space_group_name_H-M_alt 'P m -3 m'
_space_group_IT_number 221
_space_group_name_Hall '-P 4 2 3'
_cell_length_a 4.813
_cell_length_b 4.813
_cell_length_c 4.813
_cell_angle_alpha 90.00
_cell_angle_beta 90.00
_cell_angle_gamma 90.00
loop_
_atom_site_label
_atom_site_type_symbol
_atom_site_fract_x
_atom_site_fract_y
_atom_site_fract_z
Li1 Li 0.000 0.000 0.500
Ge1 Ge 0.000 0.000 0.000
C1 C 0.500 0.500 0.500
```